# HfInReCl2

A relaxed HfInReCl2 crystal (PBE-GGA, Alexandria).

The structure in POSCAR format:
```
HfInReCl2
1.0
4.929 0.000 0.000
0.000 4.929 0.000
0.000 0.000 5.261
Hf In Re Cl
1 1 1 2
Direct
0.000 0.000 0.000
0.500 0.500 0.500
0.000 0.000 0.500
0.000 0.500 0.000
0.500 0.000 0.000
```

- E: -5.46 eV per atom
- D(E_F): 0.613 states/eV per atom
- Raw formation energy: 304 meV/atom
- Size of the total moment: 0.397 μB per atom
- Symmetry: No. 123